## Pr3HgCBr (GGA-PBE)

Data for Pr3HgCBr after structural relaxation.

a = 9.0392 Å, b = 3.8319 Å, c = 10.4084 Å
α = 90.00°, β = 91.22°, γ = 90.00°
Space group P2_1/m (No. 11)
Inequivalent atoms, fractional coordinates:
Pr: 0.0766 0.2500 0.2846
Pr: 0.1581 0.2500 0.9538
Pr: 0.4042 0.7500 0.1636
Hg: 0.2831 0.7500 0.7224
C: 0.1266 0.7500 0.1318
Br: 0.3792 0.2500 0.3911

Computed properties:
E: -4.718 eV per atom
raw formation energy: -0.462 eV/atom
D(E_F): 4.75 states/eV/f.u.


## HgPt2CBr (GGA-PBE)

Data for HgPt2CBr after structural relaxation.

a = 4.6756 Å, b = 4.6756 Å, c = 7.0177 Å
α = 90.00°, β = 90.00°, γ = 90.00°
Space group P4/mmm (No. 123)
Inequivalent atoms, fractional coordinates:
Hg: 0.0000 0.0000 0.0000
Pt: 0.0000 0.5000 0.5000
C: 0.5000 0.5000 0.0000
Br: 0.0000 0.0000 0.5000

Computed properties:
E: -2.382 eV per atom
raw formation energy: 2.274 eV/atom
D(E_F): 6.05 states/eV/f.u.


The highest E belongs to which entry?
HgPt2CBr


Copy entry 2 word for word.
## HgPt2CBr (GGA-PBE)

Data for HgPt2CBr after structural relaxation.

a = 4.6756 Å, b = 4.6756 Å, c = 7.0177 Å
α = 90.00°, β = 90.00°, γ = 90.00°
Space group P4/mmm (No. 123)
Inequivalent atoms, fractional coordinates:
Hg: 0.0000 0.0000 0.0000
Pt: 0.0000 0.5000 0.5000
C: 0.5000 0.5000 0.0000
Br: 0.0000 0.0000 0.5000

Computed properties:
E: -2.382 eV per atom
raw formation energy: 2.274 eV/atom
D(E_F): 6.05 states/eV/f.u.